No. 1
A geometry-optimized RbCd12Hg4 structure, computed with PBE.

## Properties
Uncorrected energy in eV/atom: -0.699
Space-group type: Im-3 (204)
Formation enthalpy at 0 K in kJ/mol of atoms: 7.2
Volume in Å³/cell: 509.02

a = 8.7120 Å, b = 8.7120 Å, c = 8.7120 Å
α = 109.47°, β = 109.47°, γ = 109.47°
Atoms (fractional coordinates):
Hg 0.5000 0.5000 0.5000
Hg 0.5000 0.0000 0.0000
Hg 0.0000 0.5000 0.0000
Hg 0.0000 0.0000 0.5000
Cd 0.1490 0.3555 0.5045
Cd 0.6445 0.7935 0.1490
Cd 0.5044 0.1490 0.3555
Cd 0.6445 0.4956 0.8510
Cd 0.3555 0.5044 0.1490
Cd 0.3555 0.2065 0.8510
Cd 0.7935 0.1490 0.6445
Cd 0.4956 0.8510 0.6445
Cd 0.2065 0.8510 0.3555
Cd 0.8510 0.6445 0.4956
Cd 0.1490 0.6445 0.7935
Cd 0.8510 0.3555 0.2065
Rb 0.0000 0.0000 0.0000

No. 2
A geometry-optimized Li4ZnAu5 structure, computed with PBE.

## Properties
Uncorrected energy in eV/atom: -3.012
Space-group type: P4/mmm (123)
Formation enthalpy at 0 K in kJ/mol of atoms: -46.4
Volume in Å³/cell: 154.83

a = 3.2087 Å, b = 3.2087 Å, c = 15.0384 Å
α = 90.00°, β = 90.00°, γ = 90.00°
Atoms (fractional coordinates):
Li 0.0000 0.0000 0.4011
Li 0.0000 0.0000 0.5989
Li 0.0000 0.0000 0.2029
Li 0.0000 0.0000 0.7971
Au 0.5000 0.5000 0.1031
Au 0.5000 0.5000 0.8969
Au 0.5000 0.5000 0.5000
Au 0.5000 0.5000 0.3022
Au 0.5000 0.5000 0.6978
Zn 0.0000 0.0000 0.0000

No. 3
A geometry-optimized Pm4AlTe3 structure, computed with PBE.

## Properties
Uncorrected energy in eV/atom: -5.170
Space-group type: Cmmm (65)
ΔE_f (raw) in eV per atom: -1.149
Volume in Å³/cell: 249.87

a = 4.3954 Å, b = 7.7496 Å, c = 7.7496 Å
α = 108.82°, β = 90.00°, γ = 90.00°
Atoms (fractional coordinates):
Pm 0.0000 0.2386 0.2386
Pm 0.0000 0.7614 0.7614
Pm 0.5000 0.2404 0.7596
Pm 0.5000 0.7596 0.2404
Te 0.0000 0.0000 0.5000
Te 0.0000 0.5000 0.0000
Te 0.5000 0.5000 0.5000
Al 0.5000 0.0000 0.0000

No. 4
A geometry-optimized Hf2BeAl structure, computed with PBE.

## Properties
Uncorrected energy in eV/atom: -6.565
Space-group type: I-42d (122)
Distance to the lowest polymorph of the same formula in meV per atom: 442.9
Formation enthalpy at 0 K in kJ/mol of atoms: 26.9
Volume in Å³/cell: 146.72

a = 7.2367 Å, b = 7.2367 Å, c = 5.8339 Å
α = 51.67°, β = 51.67°, γ = 90.00°
Atoms (fractional coordinates):
Hf 0.8750 0.8471 0.7500
Hf 0.5971 0.1250 0.2500
Hf 0.1529 0.6250 0.2500
Hf 0.3750 0.4029 0.7500
Al 0.7500 0.2500 0.5000
Al 0.0000 0.0000 0.0000
Be 0.5000 0.5000 0.0000
Be 0.2500 0.7500 0.5000